First-principles (PBE) data for an optimized crystal structure of Mo2PbSe, as listed in Alexandria.

Cell: 8.2581 3.1601 6.1070 Å, 90.00 103.92 90.00°
Element x y z (fractional)
Mo1 0.2412 0.0000 0.1826
Mo2 0.2588 0.5000 0.8174
Mo3 0.7412 0.5000 0.1826
Mo4 0.7588 0.0000 0.8174
Pb1 0.0000 0.0000 0.5000
Pb2 0.5000 0.5000 0.5000
Se1 0.0000 0.5000 0.0000
Se2 0.5000 0.0000 0.0000

Total moment (μB/f.u.): 0.000
Space-group type: C2/m (12)
E_form (uncorrected) (eV per atom): 0.460